A geometry-optimized BAsPd6Pb2 structure, computed with PBE.

a b c (Å): 5.8818 6.8132 7.0799
angles (deg): 49.39 65.08 89.64
With the nearest neighbours (Å) after each atom.
Sites, in units of the cell vectors:
B (0.5000, 0.5000, 0.0000)  6 Pd 2.11
As (0.0000, 0.0000, 0.0000)  6 Pd 2.58-2.62
Pd (0.2783, 0.3345, 0.4303)  1 B 2.11
Pd (0.8243, 0.7950, 0.8549)  1 B 2.11
Pd (0.3188, 0.7949, 0.8507)  1 B 2.11
Pd (0.6812, 0.2051, 0.1493)  1 B 2.11
Pd (0.1757, 0.2050, 0.1451)  1 B 2.11
Pd (0.7217, 0.6655, 0.5697)  1 B 2.11
Pb (0.7570, 0.3140, 0.4772)  8 Pd 2.85-3.17
Pb (0.2430, 0.6860, 0.5228)  8 Pd 2.85-3.17

Output
The volume comes out at 179.94 Å³ per cell. Its total energy is -0.19224 hartree per atom. The calculation puts the density of states at the Fermi level at 5.40 states/eV per cell. The space-group type is P-1, No. 2. As for the formation energy: -0.24 eV per atom.